A plane-wave DFT calculation with PBE was carried out for a relaxed structure of MgBeP2.

Results
The calculation puts the calculated formation energy at 0.237 eV per atom. The magnetization comes out at 0.000 μB per formula unit. The electronic total energy is -3.799 eV/atom. The value obtained for the energy above the most stable polymorph in this dataset is 437 meV per atom. As for the space-group type: Pmmm.

Lattice parameters (Å, degrees): 3.5160 3.6879 4.4908 90.00 90.00 90.00
Closest atoms and distances in Å follow each position.
Sites, in units of the cell vectors:
Mg  0.0000  0.0000  0.0000  8 P 2.55-2.85
Be  0.0000  0.5000  0.5000  8 P 2.55-2.85
P  0.5000  0.0000  0.5000  4 Be 2.55, 4 Mg 2.85
P  0.5000  0.5000  0.0000  4 Mg 2.55, 4 Be 2.85



A plane-wave DFT calculation with PBE was carried out for a relaxed structure of MgBeP2.

Results
The calculation puts the calculated formation energy at -0.011 eV per atom. The magnetization comes out at 0.000 μB per formula unit. The electronic total energy is -4.046 eV/atom. The value obtained for the energy above the most stable polymorph in this dataset is 190 meV per atom. As for the space-group type: P2/m.

Lattice parameters (Å, degrees): 3.6407 3.3406 5.4027 90.00 109.06 90.00
Closest atoms and distances in Å follow each position.
Sites, in units of the cell vectors:
Mg  0.0000  0.0000  0.0000  2 Be 2.72, 4 P 2.74
Be  0.5000  0.0000  0.5000  4 P 2.29
P  0.2476  0.5000  0.6849  1 P 2.21, 2 Be 2.29
P  0.7524  0.5000  0.3151  1 P 2.21, 2 Be 2.29



A plane-wave DFT calculation with PBE was carried out for a relaxed structure of Mg2BeP.

Results
The calculation puts the calculated formation energy at -0.063 eV per atom. The magnetization comes out at 0.000 μB per formula unit. The electronic total energy is -3.144 eV/atom. The value obtained for the energy above the most stable polymorph in this dataset is 184 meV per atom. As for the space-group type: Imm2.

Lattice parameters (Å, degrees): 3.4604 3.7441 11.0395 90.00 90.00 90.00
Closest atoms and distances in Å follow each position.
Sites, in units of the cell vectors:
Mg  0.0000  0.0000  0.0000  4 Be 2.68, 2 P 2.80
Mg  0.0000  0.5000  0.2305  4 P 2.70, 2 Be 2.84
Mg  0.5000  0.0000  0.7305  4 P 2.70, 2 Be 2.84
Mg  0.5000  0.5000  0.5000  4 Be 2.68, 2 P 2.80
Be  0.0000  0.0000  0.4243  2 P 2.13
Be  0.5000  0.5000  0.9243  2 P 2.13
P  0.0000  0.5000  0.8118  2 Be 2.13
P  0.5000  0.0000  0.3118  2 Be 2.13



A plane-wave DFT calculation with PBE was carried out for a relaxed structure of Mg2BeP.

Results
The calculation puts the calculated formation energy at 0.118 eV per atom. The magnetization comes out at 0.000 μB per formula unit. The electronic total energy is -2.963 eV/atom. The value obtained for the energy above the most stable polymorph in this dataset is 365 meV per atom. As for the space-group type: Cmmm.

Lattice parameters (Å, degrees): 5.6960 7.7203 2.8743 90.00 90.00 90.00
Closest atoms and distances in Å follow each position.
Sites, in units of the cell vectors:
Mg  0.2500  0.2500  0.0000  4 Be 2.80, 4 P 2.80, 4 Mg 2.85-2.87
Mg  0.2500  0.7500  0.0000  4 P 2.80, 4 Be 2.80, 4 Mg 2.85-2.87
Mg  0.7500  0.2500  0.0000  4 Be 2.80, 4 P 2.80, 4 Mg 2.85-2.87
Mg  0.7500  0.7500  0.0000  4 Be 2.80, 4 P 2.80, 4 Mg 2.85-2.87
Be  0.0000  0.0000  0.5000  8 Mg 2.80, 2 P 2.85, 2 Be 2.87
Be  0.5000  0.5000  0.5000  8 Mg 2.80, 2 P 2.85, 2 Be 2.87
P  0.0000  0.5000  0.5000  8 Mg 2.80, 2 Be 2.85, 2 P 2.87
P  0.5000  0.0000  0.5000  8 Mg 2.80, 2 Be 2.85, 2 P 2.87



A plane-wave DFT calculation with PBE was carried out for a relaxed structure of Mg2BeP2.

Results
The calculation puts the calculated formation energy at -0.088 eV per atom. The magnetization comes out at 0.000 μB per formula unit. The electronic total energy is -3.635 eV/atom. As for the space-group type: P4/mbm.

Lattice parameters (Å, degrees): 6.5246 6.5246 3.7788 90.00 90.00 90.00
Closest atoms and distances in Å follow each position.
Sites, in units of the cell vectors:
Mg  0.1530  0.3470  0.0000  6 P 2.53-2.81, 1 Mg 2.82
Mg  0.3470  0.8470  0.0000  6 P 2.53-2.81, 1 Mg 2.82
Mg  0.6530  0.1530  0.0000  6 P 2.53-2.81, 1 Mg 2.82
Mg  0.8470  0.6530  0.0000  6 P 2.53-2.81, 1 Mg 2.82
Be  0.0000  0.0000  0.5000  4 P 2.44
Be  0.5000  0.5000  0.5000  4 P 2.44
P  0.1646  0.6646  0.5000  2 Be 2.44, 2 Mg 2.53
P  0.3354  0.1646  0.5000  2 Be 2.44, 2 Mg 2.53
P  0.6646  0.8354  0.5000  2 Be 2.44, 2 Mg 2.53
P  0.8354  0.3354  0.5000  2 Be 2.44, 2 Mg 2.53



A plane-wave DFT calculation with PBE was carried out for a relaxed structure of Mg2BeP.

Results
The calculation puts the calculated formation energy at 0.265 eV per atom. The magnetization comes out at 0.000 μB per formula unit. The electronic total energy is -2.817 eV/atom. The value obtained for the energy above the most stable polymorph in this dataset is 511 meV per atom. As for the space-group type: R-3m.

Lattice parameters (Å, degrees): 3.0761 3.0761 24.3237 90.00 90.00 120.00
Closest atoms and distances in Å follow each position.
Sites, in units of the cell vectors:
Mg  0.0000  0.0000  0.2472  3 Be 2.64, 3 P 2.75
Mg  0.0000  0.0000  0.7528  3 Be 2.64, 3 P 2.75
Mg  0.3333  0.6667  0.4195  3 Be 2.64, 3 P 2.75
Mg  0.3333  0.6667  0.9138  3 Be 2.64, 3 P 2.75
Mg  0.6667  0.3333  0.0862  3 Be 2.64, 3 P 2.75
Mg  0.6667  0.3333  0.5805  3 Be 2.64, 3 P 2.75
Be  0.0000  0.0000  0.5000  6 Mg 2.64
Be  0.3333  0.6667  0.1667  6 Mg 2.64
Be  0.6667  0.3333  0.8333  6 Mg 2.64
P  0.0000  0.0000  0.0000  6 Mg 2.75, 6 P 3.08
P  0.3333  0.6667  0.6667  6 Mg 2.75, 6 P 3.08
P  0.6667  0.3333  0.3333  6 Mg 2.75, 6 P 3.08



A plane-wave DFT calculation with PBE was carried out for a relaxed structure of MgBeP2.

Results
The calculation puts the calculated formation energy at 0.209 eV per atom. The magnetization comes out at 0.000 μB per formula unit. The electronic total energy is -3.826 eV/atom. The value obtained for the energy above the most stable polymorph in this dataset is 409 meV per atom. As for the space-group type: Cmmm.

Lattice parameters (Å, degrees): 5.1759 6.6272 3.4056 90.00 90.00 90.00
Closest atoms and distances in Å follow each position.
Sites, in units of the cell vectors:
Mg  0.0000  0.0000  0.0000  2 Be 2.59, 8 P 2.71
Mg  0.5000  0.5000  0.0000  2 Be 2.59, 8 P 2.71
Be  0.0000  0.5000  0.0000  2 Mg 2.59, 8 P 2.71
Be  0.5000  0.0000  0.0000  2 Mg 2.59, 8 P 2.71
P  0.2500  0.2500  0.5000  2 P 2.59, 4 Be 2.71, 4 Mg 2.71
P  0.2500  0.7500  0.5000  2 P 2.59, 4 Be 2.71, 4 Mg 2.71
P  0.7500  0.2500  0.5000  2 P 2.59, 4 Be 2.71, 4 Mg 2.71
P  0.7500  0.7500  0.5000  2 P 2.59, 4 Be 2.71, 4 Mg 2.71



A plane-wave DFT calculation with PBE was carried out for a relaxed structure of MgBeP2.

Results
The calculation puts the calculated formation energy at 0.200 eV per atom. The magnetization comes out at 0.000 μB per formula unit. The electronic total energy is -3.835 eV/atom. The value obtained for the energy above the most stable polymorph in this dataset is 400 meV per atom. As for the space-group type: C2/m.

Lattice parameters (Å, degrees): 5.2769 6.6345 3.5631 90.00 105.77 90.00
Closest atoms and distances in Å follow each position.
Sites, in units of the cell vectors:
Mg  0.0000  0.0000  0.0000  4 P 2.53, 2 Be 2.64
Mg  0.5000  0.5000  0.0000  4 P 2.53, 2 Be 2.64
Be  0.0000  0.5000  0.0000  4 P 2.53, 2 Mg 2.64
Be  0.5000  0.0000  0.0000  4 P 2.53, 2 Mg 2.64
P  0.2500  0.2500  0.5000  2 Be 2.53, 2 Mg 2.53, 2 P 2.64
P  0.2500  0.7500  0.5000  2 Mg 2.53, 2 Be 2.53, 2 P 2.64
P  0.7500  0.2500  0.5000  2 Be 2.53, 2 Mg 2.53, 2 P 2.64
P  0.7500  0.7500  0.5000  2 Mg 2.53, 2 Be 2.53, 2 P 2.64



A plane-wave DFT calculation with PBE was carried out for a relaxed structure of MgBeP2.

Results
The calculation puts the calculated formation energy at 0.467 eV per atom. The magnetization comes out at 0.000 μB per formula unit. The electronic total energy is -3.568 eV/atom. The value obtained for the energy above the most stable polymorph in this dataset is 667 meV per atom. As for the space-group type: F-43m.

Lattice parameters (Å, degrees): 6.1147 6.1147 6.1147 90.00 90.00 90.00
Closest atoms and distances in Å follow each position.
Sites, in units of the cell vectors:
Mg  0.0000  0.0000  0.0000  4 Be 2.65, 4 P 2.65
Mg  0.0000  0.5000  0.5000  4 Be 2.65, 4 P 2.65
Mg  0.5000  0.0000  0.5000  4 Be 2.65, 4 P 2.65
Mg  0.5000  0.5000  0.0000  4 Be 2.65, 4 P 2.65
Be  0.2500  0.2500  0.7500  4 Mg 2.65, 4 P 2.65
Be  0.2500  0.7500  0.2500  4 Mg 2.65, 4 P 2.65
Be  0.7500  0.2500  0.2500  4 Mg 2.65, 4 P 2.65
Be  0.7500  0.7500  0.7500  4 Mg 2.65, 4 P 2.65
P  0.0000  0.0000  0.5000  4 P 2.65, 4 Be 2.65
P  0.0000  0.5000  0.0000  4 P 2.65, 4 Be 2.65
P  0.2500  0.2500  0.2500  4 Mg 2.65, 4 P 2.65
P  0.2500  0.7500  0.7500  4 Mg 2.65, 4 P 2.65
P  0.5000  0.0000  0.0000  4 P 2.65, 4 Be 2.65
P  0.5000  0.5000  0.5000  4 P 2.65, 4 Be 2.65
P  0.7500  0.2500  0.7500  4 Mg 2.65, 4 P 2.65
P  0.7500  0.7500  0.2500  4 Mg 2.65, 4 P 2.65



A plane-wave DFT calculation with PBE was carried out for a relaxed structure of MgBe3P3.

Results
The calculation puts the calculated formation energy at -0.342 eV per atom. The magnetization comes out at 0.000 μB per formula unit. The electronic total energy is -4.485 eV/atom. As for the space-group type: R-3.

Lattice parameters (Å, degrees): 7.3213 7.3213 7.3213 49.57 49.57 49.57
Closest atoms and distances in Å follow each position.
Sites, in units of the cell vectors:
Mg  0.1660  0.1660  0.1660  6 P 2.68
Mg  0.8340  0.8340  0.8340  6 P 2.68
Be  0.0362  0.3662  0.7038  4 P 2.16-2.21
Be  0.2962  0.9638  0.6338  4 P 2.16-2.21
Be  0.3662  0.7038  0.0362  4 P 2.16-2.21
Be  0.6338  0.2962  0.9638  4 P 2.16-2.21
Be  0.7038  0.0362  0.3662  4 P 2.16-2.21
Be  0.9638  0.6338  0.2962  4 P 2.16-2.21
P  0.0779  0.7404  0.4133  4 Be 2.16-2.21
P  0.2596  0.5867  0.9221  4 Be 2.16-2.21
P  0.4133  0.0779  0.7404  4 Be 2.16-2.21
P  0.5867  0.9221  0.2596  4 Be 2.16-2.21
P  0.7404  0.4133  0.0779  4 Be 2.16-2.21
P  0.9221  0.2596  0.5867  4 Be 2.16-2.21



A plane-wave DFT calculation with PBE was carried out for a relaxed structure of MgBeP2.

Results
The calculation puts the calculated formation energy at 0.333 eV per atom. The magnetization comes out at 0.000 μB per formula unit. The electronic total energy is -3.702 eV/atom. The value obtained for the energy above the most stable polymorph in this dataset is 533 meV per atom. As for the space-group type: Fm-3m.

Lattice parameters (Å, degrees): 6.1865 6.1865 6.1865 90.00 90.00 90.00
Closest atoms and distances in Å follow each position.
Sites, in units of the cell vectors:
Mg  0.0000  0.0000  0.0000  8 P 2.68
Mg  0.0000  0.5000  0.5000  8 P 2.68
Mg  0.5000  0.0000  0.5000  8 P 2.68
Mg  0.5000  0.5000  0.0000  8 P 2.68
Be  0.0000  0.0000  0.5000  8 P 2.68
Be  0.0000  0.5000  0.0000  8 P 2.68
Be  0.5000  0.0000  0.0000  8 P 2.68
Be  0.5000  0.5000  0.5000  8 P 2.68
P  0.2500  0.2500  0.2500  4 Be 2.68, 4 Mg 2.68
P  0.2500  0.2500  0.7500  4 Mg 2.68, 4 Be 2.68
P  0.2500  0.7500  0.2500  4 Mg 2.68, 4 Be 2.68
P  0.2500  0.7500  0.7500  4 Be 2.68, 4 Mg 2.68
P  0.7500  0.2500  0.2500  4 Mg 2.68, 4 Be 2.68
P  0.7500  0.2500  0.7500  4 Be 2.68, 4 Mg 2.68
P  0.7500  0.7500  0.2500  4 Be 2.68, 4 Mg 2.68
P  0.7500  0.7500  0.7500  4 Mg 2.68, 4 Be 2.68



A plane-wave DFT calculation with PBE was carried out for a relaxed structure of Mg2BeP.

Results
The calculation puts the calculated formation energy at 0.210 eV per atom. The magnetization comes out at 0.000 μB per formula unit. The electronic total energy is -2.871 eV/atom. The value obtained for the energy above the most stable polymorph in this dataset is 457 meV per atom. As for the space-group type: Fm-3m.

Lattice parameters (Å, degrees): 6.4121 6.4121 6.4121 90.00 90.00 90.00
Closest atoms and distances in Å follow each position.
Sites, in units of the cell vectors:
Mg  0.2500  0.2500  0.2500  4 Be 2.78, 4 P 2.78
Mg  0.2500  0.2500  0.7500  4 Be 2.78, 4 P 2.78
Mg  0.2500  0.7500  0.2500  4 Be 2.78, 4 P 2.78
Mg  0.2500  0.7500  0.7500  4 Be 2.78, 4 P 2.78
Mg  0.7500  0.2500  0.2500  4 Be 2.78, 4 P 2.78
Mg  0.7500  0.2500  0.7500  4 Be 2.78, 4 P 2.78
Mg  0.7500  0.7500  0.2500  4 Be 2.78, 4 P 2.78
Mg  0.7500  0.7500  0.7500  4 P 2.78, 4 Be 2.78
Be  0.0000  0.0000  0.0000  8 Mg 2.78
Be  0.0000  0.5000  0.5000  8 Mg 2.78
Be  0.5000  0.0000  0.5000  8 Mg 2.78
Be  0.5000  0.5000  0.0000  8 Mg 2.78
P  0.0000  0.0000  0.5000  8 Mg 2.78
P  0.0000  0.5000  0.0000  8 Mg 2.78
P  0.5000  0.0000  0.0000  8 Mg 2.78
P  0.5000  0.5000  0.5000  8 Mg 2.78



A plane-wave DFT calculation with PBE was carried out for a relaxed structure of Mg2BeP.

Results
The calculation puts the calculated formation energy at 0.089 eV per atom. The magnetization comes out at 0.000 μB per formula unit. The electronic total energy is -2.992 eV/atom. The value obtained for the energy above the most stable polymorph in this dataset is 336 meV per atom. As for the space-group type: P2/m.

Lattice parameters (Å, degrees): 2.9273 3.6607 5.8652 90.00 90.34 90.00
Closest atoms and distances in Å follow each position.
Sites, in units of the cell vectors:
Mg  0.0032  0.0000  0.2440  4 Be 2.75, 4 P 2.77-2.79, 4 Mg 2.86-3.00
Mg  0.9968  0.0000  0.7560  4 Be 2.75, 4 P 2.77-2.79, 4 Mg 2.86-3.00
Be  0.5000  0.5000  0.0000  8 Mg 2.75, 2 Be 2.93, 2 P 2.93
P  0.5000  0.5000  0.5000  8 Mg 2.77-2.79, 2 P 2.93, 2 Be 2.93



A plane-wave DFT calculation with PBE was carried out for a relaxed structure of Mg2BeP.

Results
The calculation puts the calculated formation energy at 0.325 eV per atom. The magnetization comes out at 0.000 μB per formula unit. The electronic total energy is -2.756 eV/atom. The value obtained for the energy above the most stable polymorph in this dataset is 572 meV per atom. As for the space-group type: I-42d.

Lattice parameters (Å, degrees): 4.0979 4.0979 17.2498 90.00 90.00 90.00
Closest atoms and distances in Å follow each position.
Sites, in units of the cell vectors:
Mg  0.2416  0.2500  0.1250  2 Be 2.58, 2 P 2.61, 2 Mg 2.85
Mg  0.2500  0.7416  0.3750  2 Be 2.58, 2 P 2.61, 2 Mg 2.85
Mg  0.2500  0.7584  0.8750  2 Be 2.58, 2 P 2.61, 2 Mg 2.85
Mg  0.2584  0.2500  0.6250  2 Be 2.58, 2 P 2.61, 2 Mg 2.85
Mg  0.7416  0.7500  0.6250  2 Be 2.58, 2 P 2.61, 2 Mg 2.85
Mg  0.7500  0.2416  0.8750  2 Be 2.58, 2 P 2.61, 2 Mg 2.85
Mg  0.7500  0.2584  0.3750  2 Be 2.58, 2 P 2.61, 2 Mg 2.85
Mg  0.7584  0.7500  0.1250  2 Be 2.58, 2 P 2.61, 2 Mg 2.85
Be  0.0000  0.0000  0.0000  4 Mg 2.58
Be  0.0000  0.5000  0.2500  4 Mg 2.58
Be  0.5000  0.0000  0.7500  4 Mg 2.58
Be  0.5000  0.5000  0.5000  4 Mg 2.58
P  0.0000  0.0000  0.5000  4 Mg 2.61, 4 Be 2.90
P  0.0000  0.5000  0.7500  4 Mg 2.61, 4 Be 2.90
P  0.5000  0.0000  0.2500  4 Mg 2.61, 4 Be 2.90
P  0.5000  0.5000  0.0000  4 Mg 2.61, 4 Be 2.90